1.
Below is a relaxed structure of BiHOs3, with properties calculated at the GGA-PBE level.

The value obtained for the size of the total moment is 5.8 μB per formula unit. Its crystal system is cubic. The space group is No. 221. The energy relative to the lowest polymorph listed for this composition comes out at 13.53 eV/f.u. The total energy comes out at -4.546 eV/atom.

a = 5.091 Å, b = 5.091 Å, c = 5.091 Å
α = 90.00°, β = 90.00°, γ = 90.00°
Site moments in Bohr magnetons follow the coordinates.
Positions (direct):
1 Os 0.000 0.000 0.500  1.73
2 Os 0.000 0.500 0.000  1.52
3 Bi 0.000 0.000 0.000  -0.09
4 H 0.500 0.500 0.500  0.31
5 Os 0.500 0.000 0.000  1.36


2.
Below is a relaxed structure of BiH2Os2, with properties calculated at the GGA-PBE level.

The value obtained for the size of the total moment is 0.0 μB per formula unit. Its crystal system is tetragonal. The space group is No. 139. The energy relative to the lowest polymorph listed for this composition comes out at 0.00 eV/f.u. The total energy comes out at -5.916 eV/atom.

a = 3.809 Å, b = 3.809 Å, c = 5.549 Å
α = 69.93°, β = 69.93°, γ = 90.00°
Positions (direct):
1 Os 0.750 0.250 0.500
2 H 0.293 0.293 0.415
3 Bi 0.000 0.000 0.000
4 Os 0.250 0.750 0.500
5 H 0.707 0.707 0.585


3.
Below is a relaxed structure of BiHOs3, with properties calculated at the GGA-PBE level.

The value obtained for the size of the total moment is 0.9 μB per formula unit. Its crystal system is cubic. The space group is No. 221. The energy relative to the lowest polymorph listed for this composition comes out at 0.00 eV/f.u. The total energy comes out at -7.253 eV/atom.

a = 4.100 Å, b = 4.100 Å, c = 4.100 Å
α = 90.00°, β = 90.00°, γ = 90.00°
Site moments in Bohr magnetons follow the coordinates.
Positions (direct):
1 H 0.000 0.000 0.000  0.00
2 Bi 0.500 0.500 0.500  0.01
3 Os 0.000 0.000 0.500  0.40
4 Os 0.000 0.500 0.000  0.22
5 Os 0.500 0.000 0.000  0.20


4.
Below is a relaxed structure of BiH2Os, with properties calculated at the GGA-PBE level.

The value obtained for the size of the total moment is 0.0 μB per formula unit. Its crystal system is cubic. The space group is No. 225. The energy relative to the lowest polymorph listed for this composition comes out at 2.90 eV/f.u. The total energy comes out at -4.111 eV/atom.

a = 4.104 Å, b = 4.104 Å, c = 4.104 Å
α = 60.00°, β = 60.00°, γ = 60.00°
Positions (direct):
1 H 0.750 0.750 0.750
2 Os 0.000 0.000 0.000
3 H 0.250 0.250 0.250
4 Bi 0.500 0.500 0.500


5.
Below is a relaxed structure of Bi2H5Os, with properties calculated at the GGA-PBE level.

The value obtained for the size of the total moment is 0.0 μB per formula unit. Its crystal system is monoclinic. The space group is No. 8. The total energy comes out at -4.256 eV/atom.

a = 6.099 Å, b = 6.099 Å, c = 6.533 Å
α = 133.33°, β = 133.33°, γ = 74.20°
Positions (direct):
1 Bi 0.777 0.235 0.466
2 Bi 0.235 0.777 0.466
3 Os 0.927 0.927 0.004
4 H 0.233 0.864 0.045
5 H 0.696 0.696 0.886
6 H 0.797 0.797 0.605
7 H 0.249 0.249 0.484
8 H 0.864 0.233 0.045


6.
Below is a relaxed structure of Bi2HOs, with properties calculated at the GGA-PBE level.

The value obtained for the size of the total moment is 0.4 μB per formula unit. Its crystal system is cubic. The space group is No. 225. The energy relative to the lowest polymorph listed for this composition comes out at 0.00 eV/f.u. The total energy comes out at -4.784 eV/atom.

a = 4.725 Å, b = 4.725 Å, c = 4.725 Å
α = 60.00°, β = 60.00°, γ = 60.00°
Site moments in Bohr magnetons follow the coordinates.
Positions (direct):
1 Bi 0.750 0.750 0.750  0.01
2 Bi 0.250 0.250 0.250  0.01
3 Os 0.500 0.500 0.500  0.18
4 H 0.000 0.000 0.000  0.09


7.
Below is a relaxed structure of Bi2HOs, with properties calculated at the GGA-PBE level.

The value obtained for the size of the total moment is 0.0 μB per formula unit. Its crystal system is tetragonal. The space group is No. 122. The energy relative to the lowest polymorph listed for this composition comes out at 0.31 eV/f.u. The total energy comes out at -4.707 eV/atom.

a = 6.607 Å, b = 6.607 Å, c = 5.939 Å
α = 56.21°, β = 56.21°, γ = 90.00°
Positions (direct):
1 Os 0.750 0.250 0.500
2 Bi 0.375 0.426 0.750
3 Bi 0.574 0.125 0.250
4 H 0.250 0.750 0.500
5 H 0.500 0.500 0.000
6 Os 0.000 0.000 0.000
7 Bi 0.176 0.625 0.250
8 Bi 0.875 0.824 0.750


8.
Below is a relaxed structure of BiH6Os, with properties calculated at the GGA-PBE level.

The value obtained for the size of the total moment is 0.0 μB per formula unit. Its crystal system is triclinic. The space group is No. 2. The total energy comes out at -4.112 eV/atom.

a = 4.504 Å, b = 4.502 Å, c = 5.549 Å
α = 73.04°, β = 73.90°, γ = 106.43°
Positions (direct):
1 H 0.113 0.706 0.186
2 H 0.217 0.124 0.653
3 Bi 0.500 0.500 0.000
4 H 0.783 0.876 0.347
5 Os 0.000 0.000 0.000
6 H 0.288 0.962 0.743
7 H 0.712 0.038 0.257
8 H 0.887 0.294 0.814


9.
Below is a relaxed structure of BiH2OsRh, with properties calculated at the GGA-PBE level.

The value obtained for the size of the total moment is 0.0 μB per formula unit. Its crystal system is tetragonal. The space group is No. 123. The total energy comes out at -5.173 eV/atom.

a = 3.813 Å, b = 4.945 Å, c = 3.813 Å
α = 90.00°, β = 90.00°, γ = 90.00°
Positions (direct):
1 Os 0.000 0.000 0.000
2 H 0.500 0.000 0.000
3 Rh 0.000 0.500 0.000
4 Bi 0.500 0.500 0.500
5 H 0.000 0.000 0.500


10.
Below is a relaxed structure of Th3BiHOs, with properties calculated at the GGA-PBE level.

The value obtained for the size of the total moment is 0.0 μB per formula unit. Its crystal system is monoclinic. The space group is No. 11. The total energy comes out at -7.218 eV/atom.

a = 4.412 Å, b = 8.330 Å, c = 9.028 Å
α = 100.88°, β = 90.00°, γ = 90.00°
Positions (direct):
1 Os 0.750 0.318 0.865
2 Os 0.250 0.682 0.135
3 Bi 0.250 0.196 0.293
4 Bi 0.750 0.804 0.707
5 Th 0.250 0.829 0.434
6 Th 0.250 0.110 0.892
7 Th 0.750 0.458 0.169
8 H 0.750 0.921 0.381
9 Th 0.750 0.171 0.566
10 H 0.250 0.079 0.619
11 Th 0.750 0.890 0.108
12 Th 0.250 0.542 0.831


11.
Below is a relaxed structure of ZnBiH2Os, with properties calculated at the GGA-PBE level.

The value obtained for the size of the total moment is 0.0 μB per formula unit. Its crystal system is tetragonal. The space group is No. 123. The total energy comes out at -3.735 eV/atom.

a = 3.753 Å, b = 5.433 Å, c = 3.753 Å
α = 90.00°, β = 90.00°, γ = 90.00°
Positions (direct):
1 Os 0.000 0.500 0.000
2 H 0.000 0.000 0.500
3 Bi 0.500 0.500 0.500
4 H 0.500 0.000 0.000
5 Zn 0.000 0.000 0.000


12.
Below is a relaxed structure of Bi3PH, with properties calculated at the GGA-PBE level.

The value obtained for the size of the total moment is 0.0 μB per formula unit. Its crystal system is cubic. The space group is No. 221. The energy relative to the lowest polymorph listed for this composition comes out at 0.00 eV/f.u. The total energy comes out at -3.469 eV/atom.

a = 4.854 Å, b = 4.854 Å, c = 4.854 Å
α = 90.00°, β = 90.00°, γ = 90.00°
Positions (direct):
1 P 0.500 0.500 0.500
2 Bi 0.500 0.000 0.000
3 Bi 0.000 0.000 0.500
4 Bi 0.000 0.500 0.000
5 H 0.000 0.000 0.000


13.
Below is a relaxed structure of Bi2PH, with properties calculated at the GGA-PBE level.

The value obtained for the size of the total moment is 0.0 μB per formula unit. Its crystal system is cubic. The space group is No. 225. The energy relative to the lowest polymorph listed for this composition comes out at 0.35 eV/f.u. The total energy comes out at -3.595 eV/atom.

a = 4.917 Å, b = 4.917 Å, c = 4.917 Å
α = 60.00°, β = 60.00°, γ = 60.00°
Positions (direct):
1 H 0.000 0.000 0.000
2 Bi 0.750 0.750 0.750
3 Bi 0.250 0.250 0.250
4 P 0.500 0.500 0.500


14.
Below is a relaxed structure of Bi2PH2, with properties calculated at the GGA-PBE level.

The value obtained for the size of the total moment is 0.0 μB per formula unit. Its crystal system is tetragonal. The space group is No. 127. The total energy comes out at -3.711 eV/atom.

a = 6.801 Å, b = 6.801 Å, c = 3.886 Å
α = 90.00°, β = 90.00°, γ = 90.00°
Positions (direct):
1 Bi 0.747 0.753 0.500
2 P 0.000 0.000 0.000
3 P 0.500 0.500 0.000
4 Bi 0.753 0.253 0.500
5 H 0.960 0.540 0.000
6 H 0.460 0.960 0.000
7 Bi 0.247 0.747 0.500
8 H 0.540 0.040 0.000
9 Bi 0.253 0.247 0.500
10 H 0.040 0.460 0.000


15.
Below is a relaxed structure of BiP2H, with properties calculated at the GGA-PBE level.

The value obtained for the size of the total moment is 0.1 μB per formula unit. Its crystal system is cubic. The space group is No. 225. The energy relative to the lowest polymorph listed for this composition comes out at 1.59 eV/f.u. The total energy comes out at -3.534 eV/atom.

a = 4.680 Å, b = 4.680 Å, c = 4.680 Å
α = 60.00°, β = 60.00°, γ = 60.00°
Positions (direct):
1 H 0.000 0.000 0.000
2 Bi 0.500 0.500 0.500
3 P 0.750 0.750 0.750
4 P 0.250 0.250 0.250


16.
Below is a relaxed structure of BiPH, with properties calculated at the GGA-PBE level.

The value obtained for the size of the total moment is 0.0 μB per formula unit. Its crystal system is orthorhombic. The space group is No. 36. The total energy comes out at -3.994 eV/atom.

a = 4.218 Å, b = 4.161 Å, c = 7.052 Å
α = 90.00°, β = 107.40°, γ = 90.00°
Positions (direct):
1 P 0.846 0.772 0.692
2 P 0.154 0.272 0.308
3 Bi 0.613 0.871 0.226
4 H 0.054 0.398 0.108
5 H 0.946 0.898 0.892
6 Bi 0.387 0.371 0.774


17.
Below is a relaxed structure of Bi2PH, with properties calculated at the GGA-PBE level.

The value obtained for the size of the total moment is 0.0 μB per formula unit. Its crystal system is tetragonal. The space group is No. 122. The energy relative to the lowest polymorph listed for this composition comes out at 0.00 eV/f.u. The total energy comes out at -3.683 eV/atom.

a = 5.895 Å, b = 5.895 Å, c = 7.112 Å
α = 65.52°, β = 65.52°, γ = 90.00°
Positions (direct):
1 P 0.000 0.000 0.000
2 Bi 0.185 0.625 0.250
3 H 0.250 0.750 0.500
4 Bi 0.375 0.435 0.750
5 Bi 0.875 0.815 0.750
6 Bi 0.565 0.125 0.250
7 P 0.750 0.250 0.500
8 H 0.500 0.500 0.000


18.
Below is a relaxed structure of BiP2H, with properties calculated at the GGA-PBE level.

The value obtained for the size of the total moment is 0.0 μB per formula unit. Its crystal system is tetragonal. The space group is No. 122. The energy relative to the lowest polymorph listed for this composition comes out at 0.00 eV/f.u. The total energy comes out at -3.931 eV/atom.

a = 4.704 Å, b = 4.704 Å, c = 7.299 Å
α = 71.20°, β = 71.20°, γ = 90.00°
Positions (direct):
1 Bi 0.000 0.000 0.000
2 P 0.375 0.581 0.750
3 Bi 0.750 0.250 0.500
4 P 0.419 0.125 0.250
5 P 0.875 0.669 0.750
6 P 0.331 0.625 0.250
7 H 0.500 0.500 0.000
8 H 0.250 0.750 0.500


19.
Below is a relaxed structure of BiPHS2, with properties calculated at the GGA-PBE level.

The value obtained for the size of the total moment is 2.5 μB per formula unit. Its crystal system is tetragonal. The space group is No. 123. The energy relative to the lowest polymorph listed for this composition comes out at 3.98 eV/f.u. The total energy comes out at -2.871 eV/atom.

a = 5.293 Å, b = 5.293 Å, c = 5.526 Å
α = 90.00°, β = 90.00°, γ = 90.00°
Site moments in Bohr magnetons follow the coordinates.
Positions (direct):
1 S 0.000 0.500 0.000  0.01
2 P 0.000 0.000 0.500  0.69
3 Bi 0.000 0.000 0.000  -0.01
4 S 0.500 0.000 0.000  0.01
5 H 0.500 0.500 0.500  0.37


20.
Below is a relaxed structure of BiPHS2, with properties calculated at the GGA-PBE level.

The value obtained for the size of the total moment is 0.0 μB per formula unit. Its crystal system is tetragonal. The space group is No. 123. The energy relative to the lowest polymorph listed for this composition comes out at 0.00 eV/f.u. The total energy comes out at -3.667 eV/atom.

a = 4.912 Å, b = 4.912 Å, c = 3.402 Å
α = 90.00°, β = 90.00°, γ = 90.00°
Positions (direct):
1 S 0.500 0.000 0.000
2 Bi 0.500 0.500 0.500
3 P 0.000 0.000 0.500
4 S 0.000 0.500 0.000
5 H 0.000 0.000 0.000


no.,Fermi-level density of states (states/eV/f.u.)
1,5.33
2,3.65
3,8.63
4,5.79
5,2.19
6,3.45
7,2.09
8,2.37
9,4.08
10,3.95
11,2.70
12,2.59
13,1.81
14,1.38
15,2.83
16,0.86
17,1.05
18,1.77
19,5.27
20,2.29